## PmYCdHg (PBE-GGA)

Data for PmYCdHg after structural relaxation.

Lattice parameters (Å, degrees): 5.347 5.347 5.347 60.00 60.00 60.00
Fractional positions:
Pm: 0.000 0.000 0.000
Y: 0.500 0.500 0.500
Cd: 0.250 0.250 0.250
Hg: 0.750 0.750 0.750

Summary:
* ΔE to the lowest computed polymorph: 2 meV per atom